# Mn2FeSi

An optimized crystal structure of Mn2FeSi (PBEsol, Alexandria via LeMat-Bulk).

Calculated values
VASP energy = -8.649 eV per atom
Formation energy from raw total energies = -9 kJ/mol of atoms

a b c (Å): 2.5214 2.5214 22.9859
angles (deg): 90.00 90.00 120.00
Space group R3m (No. 160, hexagonal axes)
Inequivalent atoms, fractional coordinates:
Mn: 0.0000 0.0000 0.0000 (multiplicity 3)
Mn: 0.0000 0.0000 0.2513 (multiplicity 3)
Fe: 0.0000 0.0000 0.7514 (multiplicity 3)
Si: 0.0000 0.0000 0.4999 (multiplicity 3)

=====

# Si3SbAu

An optimized crystal structure of Si3SbAu (PBEsol, Alexandria via LeMat-Bulk).

Calculated values
VASP energy = -4.379 eV per atom
Formation energy from raw total energies = 74 kJ/mol of atoms

a b c (Å): 4.806 4.806 4.806
angles (deg): 90.00 90.00 90.00
Space group Pm-3m (No. 221)
Inequivalent atoms, fractional coordinates:
Si: 0.000 0.000 0.500 (multiplicity 3)
Sb: 0.500 0.500 0.500 (multiplicity 1)
Au: 0.000 0.000 0.000 (multiplicity 1)

=====

# Be2Co

An optimized crystal structure of Be2Co (PBEsol, Alexandria via LeMat-Bulk).

Calculated values
VASP energy = -5.529 eV per atom
Energy of formation = -27 kJ/mol of atoms

a b c (Å): 2.608 2.608 7.264
angles (deg): 90.00 90.00 90.00
Space group I4/mmm (No. 139)
Inequivalent atoms, fractional coordinates:
Be: 0.000 0.000 0.163 (multiplicity 4)
Co: 0.000 0.000 0.500 (multiplicity 2)

=====

# Sr3Re2

An optimized crystal structure of Sr3Re2 (PBEsol, Alexandria via LeMat-Bulk).

Calculated values
VASP energy = -5.011 eV per atom
Energy of formation = 138 kJ/mol of atoms

a b c (Å): 3.1527 3.1527 41.5455
angles (deg): 90.00 90.00 120.00
Space group R-3m (No. 166, hexagonal axes)
Inequivalent atoms, fractional coordinates:
Sr: 0.0000 0.0000 0.0000 (multiplicity 3)
Sr: 0.0000 0.0000 0.2121 (multiplicity 6)
Re: 0.0000 0.0000 0.3955 (multiplicity 6)

=====

# K3Tl

An optimized crystal structure of K3Tl (PBEsol, Alexandria via LeMat-Bulk).

Calculated values
VASP energy = -1.464 eV per atom
Energy of formation = 4 kJ/mol of atoms

a b c (Å): 9.022 9.022 9.022
angles (deg): 90.00 90.00 90.00
Space group Fm-3m (No. 225)
Inequivalent atoms, fractional coordinates:
K: 0.000 0.000 0.000 (multiplicity 4)
K: 0.250 0.250 0.250 (multiplicity 8)
Tl: 0.000 0.000 0.500 (multiplicity 4)

=====

# CsBi2Pb2

An optimized crystal structure of CsBi2Pb2 (PBEsol, Alexandria via LeMat-Bulk).

Calculated values
VASP energy = -3.643 eV per atom
Energy above the lowest structure with this stoichiometry = 49 meV/atom
Energy of formation = -14 kJ/mol of atoms

a b c (Å): 9.868 9.868 3.614
angles (deg): 90.00 90.00 90.00
Space group P4/mbm (No. 127)
Inequivalent atoms, fractional coordinates:
Cs: 0.000 0.000 0.000 (multiplicity 2)
Bi: 0.165 0.335 0.500 (multiplicity 4)
Pb: 0.119 0.619 0.000 (multiplicity 4)

=====

# AgTePt2

An optimized crystal structure of AgTePt2 (PBEsol, Alexandria via LeMat-Bulk).

Calculated values
VASP energy = -5.060 eV per atom
Formation energy from raw total energies = 13 kJ/mol of atoms

a b c (Å): 3.8952 3.8952 18.0336
angles (deg): 90.00 90.00 120.00
Space group R3m (No. 160, hexagonal axes)
Inequivalent atoms, fractional coordinates:
Ag: 0.0000 0.0000 0.0000 (multiplicity 3)
Te: 0.0000 0.0000 0.2287 (multiplicity 3)
Pt: 0.0000 0.0000 0.4855 (multiplicity 3)
Pt: 0.0000 0.0000 0.7461 (multiplicity 3)

=====

# BeRe3Ag

An optimized crystal structure of BeRe3Ag (PBEsol, Alexandria via LeMat-Bulk).

Calculated values
VASP energy = -5.972 eV per atom
Energy of formation = 337 kJ/mol of atoms

a b c (Å): 4.660 4.660 4.660
angles (deg): 90.00 90.00 90.00
Space group Pm-3m (No. 221)
Inequivalent atoms, fractional coordinates:
Be: 0.000 0.000 0.000 (multiplicity 1)
Re: 0.000 0.500 0.500 (multiplicity 3)
Ag: 0.500 0.500 0.500 (multiplicity 1)